(1)
A plane-wave DFT calculation with PBE was carried out for a geometry-optimized Pd2O3F structure.

Lattice parameters (Å, degrees): 6.355 6.355 4.641 90.00 90.00 120.00
Sites, in units of the cell vectors:
Pd: 0.000 0.000 0.000
Pd: 0.000 0.500 0.000
Pd: 0.500 0.000 0.000
Pd: 0.500 0.500 0.000
O: 0.168 0.337 0.806
O: 0.168 0.832 0.806
O: 0.337 0.168 0.194
O: 0.663 0.832 0.806
O: 0.832 0.168 0.194
O: 0.832 0.663 0.194
F: 0.333 0.667 0.262
F: 0.667 0.333 0.738

Summary:
energy: -4.96 eV/atom
spin magnetization: 0.0 μB/cell

***

(2)
A plane-wave DFT calculation with PBE was carried out for a geometry-optimized K2TaSi structure.

Lattice parameters (Å, degrees): 5.241 5.241 5.241 60.00 60.00 60.00
Sites, in units of the cell vectors:
K: 0.000 0.000 0.000
K: 0.250 0.250 0.250
Ta: 0.500 0.500 0.500
Si: 0.750 0.750 0.750

Summary:
energy: -3.66 eV/atom
spin magnetization: 3.0 μB/cell

***

(3)
A plane-wave DFT calculation with PBE was carried out for a geometry-optimized NaLiIr3 structure.

Lattice parameters (Å, degrees): 4.561 4.561 4.561 90.00 90.00 90.00
Sites, in units of the cell vectors:
Na: 0.000 0.000 0.000
Li: 0.500 0.500 0.500
Ir: 0.000 0.000 0.500
Ir: 0.000 0.500 0.000
Ir: 0.500 0.000 0.000

Summary:
formation energy from the elements: 2169 meV per atom
spin magnetization: 0.5 μB/cell

***

(4)
A plane-wave DFT calculation with PBE was carried out for a geometry-optimized LaErSc2 structure.

Lattice parameters (Å, degrees): 5.066 5.066 4.495 90.00 90.00 90.00
Sites, in units of the cell vectors:
La: 0.000 0.000 0.000
Er: 0.500 0.500 0.000
Sc: 0.000 0.500 0.500
Sc: 0.500 0.000 0.500

Summary:
formation energy from the elements: 69 meV per atom
spin magnetization: 0.0 μB/cell

***

(5)
A plane-wave DFT calculation with PBE was carried out for a geometry-optimized BaLi2In structure.

Lattice parameters (Å, degrees): 10.521 10.521 10.521 150.81 150.81 41.75
Sites, in units of the cell vectors:
Ba: 0.000 0.000 0.000
Ba: 0.750 0.250 0.500
Li: 0.373 0.625 0.248
Li: 0.375 0.623 0.748
Li: 0.377 0.125 0.752
Li: 0.875 0.627 0.252
In: 0.250 0.750 0.500
In: 0.500 0.500 0.000

Summary:
formation energy from the elements: -63 meV per atom
spin magnetization: 0.0 μB/cell

***

(6)
A plane-wave DFT calculation with PBE was carried out for a geometry-optimized CuAs2BrCl structure.

Lattice parameters (Å, degrees): 4.672 4.672 6.873 90.00 90.00 90.00
Sites, in units of the cell vectors:
Cu: 0.000 0.000 0.000
As: 0.000 0.500 0.500
As: 0.500 0.000 0.500
Br: 0.500 0.500 0.000
Cl: 0.500 0.500 0.500

Summary:
energy: -2.30 eV/atom
spin magnetization: 0.0 μB/cell

***

(7)
A plane-wave DFT calculation with PBE was carried out for a geometry-optimized Rb2Ac2RuO6 structure.

Lattice parameters (Å, degrees): 6.200 6.200 6.899 96.55 96.55 118.56
Sites, in units of the cell vectors:
Rb: 0.156 0.844 0.000
Rb: 0.844 0.156 0.000
Ac: 0.336 0.664 0.500
Ac: 0.664 0.336 0.500
Ru: 0.000 0.000 0.500
O: 0.039 0.337 0.664
O: 0.220 0.220 0.328
O: 0.337 0.039 0.664
O: 0.663 0.961 0.336
O: 0.780 0.780 0.672
O: 0.961 0.663 0.336

Summary:
energy: -6.49 eV/atom
spin magnetization: 2.0 μB/cell

***

(8)
A plane-wave DFT calculation with PBE was carried out for a geometry-optimized TlRe2Sb structure.

Lattice parameters (Å, degrees): 3.201 4.514 5.246 90.00 90.00 90.00
Sites, in units of the cell vectors:
Tl: 0.000 0.000 0.000
Re: 0.000 0.500 0.500
Re: 0.500 0.500 0.000
Sb: 0.500 0.000 0.500

Summary:
energy: -6.65 eV/atom
spin magnetization: 0.0 μB/cell

***

(9)
A plane-wave DFT calculation with PBE was carried out for a geometry-optimized K3MnP structure.

Lattice parameters (Å, degrees): 6.266 6.266 6.266 90.00 90.00 90.00
Sites, in units of the cell vectors:
K: 0.000 0.000 0.500
K: 0.000 0.500 0.000
K: 0.500 0.000 0.000
Mn: 0.500 0.500 0.500
P: 0.000 0.000 0.000

Summary:
formation energy from the elements: 501 meV per atom
spin magnetization: 5.0 μB/cell

***

(10)
A plane-wave DFT calculation with PBE was carried out for a geometry-optimized RbBaBeS2 structure.

Lattice parameters (Å, degrees): 5.785 5.785 5.152 90.00 90.00 90.00
Sites, in units of the cell vectors:
Rb: 0.000 0.000 0.000
Ba: 0.500 0.500 0.500
Be: 0.000 0.000 0.500
S: 0.000 0.500 0.000
S: 0.500 0.000 0.000

Summary:
energy: -2.68 eV/atom
spin magnetization: 0.9 μB/cell

***

(11)
A plane-wave DFT calculation with PBE was carried out for a geometry-optimized Ac6SmTl5 structure.

Lattice parameters (Å, degrees): 9.038 9.038 9.107 90.00 90.00 144.52
Sites, in units of the cell vectors:
Ac: 0.000 0.000 0.225
Ac: 0.000 0.000 0.775
Ac: 0.326 0.674 0.255
Ac: 0.326 0.674 0.745
Ac: 0.674 0.326 0.255
Ac: 0.674 0.326 0.745
Sm: 0.500 0.500 0.500
Tl: 0.141 0.859 0.500
Tl: 0.173 0.827 0.000
Tl: 0.500 0.500 0.000
Tl: 0.827 0.173 0.000
Tl: 0.859 0.141 0.500

Summary:
formation energy from the elements: -257 meV per atom
spin magnetization: 0.0 μB/cell

***

(12)
A plane-wave DFT calculation with PBE was carried out for a geometry-optimized KAg4Te2 structure.

Lattice parameters (Å, degrees): 8.876 8.876 4.525 90.00 90.00 90.00
Sites, in units of the cell vectors:
K: 0.000 0.000 0.000
K: 0.500 0.500 0.500
Ag: 0.081 0.358 0.500
Ag: 0.142 0.581 0.000
Ag: 0.358 0.081 0.500
Ag: 0.419 0.858 0.000
Ag: 0.581 0.142 0.000
Ag: 0.642 0.919 0.500
Ag: 0.858 0.419 0.000
Ag: 0.919 0.642 0.500
Te: 0.220 0.780 0.500
Te: 0.280 0.280 0.000
Te: 0.720 0.720 0.000
Te: 0.780 0.220 0.500

Summary:
energy: -2.95 eV/atom
spin magnetization: 0.0 μB/cell

***

(13)
A plane-wave DFT calculation with PBE was carried out for a geometry-optimized TlZnHg2F structure.

Lattice parameters (Å, degrees): 5.426 5.426 4.202 90.00 90.00 90.00
Sites, in units of the cell vectors:
Tl: 0.000 0.000 0.000
Zn: 0.500 0.500 0.500
Hg: 0.000 0.500 0.500
Hg: 0.500 0.000 0.500
F: 0.500 0.500 0.000

Summary:
energy: -1.72 eV/atom
spin magnetization: 0.0 μB/cell

***

(14)
A plane-wave DFT calculation with PBE was carried out for a geometry-optimized SrCuRu structure.

Lattice parameters (Å, degrees): 4.194 4.194 4.481 90.00 90.00 120.00
Sites, in units of the cell vectors:
Sr: 0.000 0.000 0.000
Cu: 0.667 0.333 0.500
Ru: 0.333 0.667 0.500

Summary:
formation energy from the elements: 404 meV per atom
spin magnetization: 0.7 μB/cell

***

(15)
A plane-wave DFT calculation with PBE was carried out for a geometry-optimized LiSnTe2 structure.

Lattice parameters (Å, degrees): 6.103 6.104 12.069 90.00 90.00 90.00
Sites, in units of the cell vectors:
Li: 0.000 0.250 0.125
Li: 0.000 0.750 0.875
Li: 0.500 0.250 0.375
Li: 0.500 0.750 0.625
Sn: 0.003 0.250 0.625
Sn: 0.497 0.750 0.125
Sn: 0.503 0.250 0.875
Sn: 0.997 0.750 0.375
Te: 0.001 0.250 0.373
Te: 0.001 0.250 0.877
Te: 0.499 0.750 0.377
Te: 0.499 0.750 0.873
Te: 0.501 0.250 0.127
Te: 0.501 0.250 0.623
Te: 0.999 0.750 0.123
Te: 0.999 0.750 0.627

Summary:
energy: -3.53 eV/atom
spin magnetization: 0.0 μB/cell

***

(16)
A plane-wave DFT calculation with PBE was carried out for a geometry-optimized SrSbW2 structure.

Lattice parameters (Å, degrees): 3.781 4.575 4.886 90.00 90.00 90.00
Sites, in units of the cell vectors:
Sr: 0.000 0.000 0.000
Sb: 0.500 0.500 0.000
W: 0.000 0.500 0.500
W: 0.500 0.000 0.500

Summary:
energy: -6.86 eV/atom
spin magnetization: 0.0 μB/cell

***

(17)
A plane-wave DFT calculation with PBE was carried out for a geometry-optimized NdDy6Sc4 structure.

Lattice parameters (Å, degrees): 5.457 5.457 24.974 90.00 90.00 119.65
Sites, in units of the cell vectors:
Nd: 0.174 0.826 0.750
Nd: 0.826 0.174 0.250
Dy: 0.159 0.841 0.178
Dy: 0.159 0.841 0.322
Dy: 0.173 0.827 0.596
Dy: 0.173 0.827 0.904
Dy: 0.493 0.507 0.250
Dy: 0.500 0.500 0.000
Dy: 0.500 0.500 0.500
Dy: 0.507 0.493 0.750
Dy: 0.827 0.173 0.096
Dy: 0.827 0.173 0.404
Dy: 0.841 0.159 0.678
Dy: 0.841 0.159 0.822
Sc: 0.164 0.836 0.043
Sc: 0.164 0.836 0.457
Sc: 0.492 0.508 0.123
Sc: 0.492 0.508 0.377
Sc: 0.508 0.492 0.623
Sc: 0.508 0.492 0.877
Sc: 0.836 0.164 0.543
Sc: 0.836 0.164 0.957

Summary:
formation energy from the elements: 112 meV per atom
spin magnetization: 0.0 μB/cell

***

(18)
A plane-wave DFT calculation with PBE was carried out for a geometry-optimized LiFePRu structure.

Lattice parameters (Å, degrees): 3.953 3.953 3.953 60.00 60.00 60.00
Sites, in units of the cell vectors:
Li: 0.000 0.000 0.000
Fe: 0.750 0.750 0.750
P: 0.500 0.500 0.500
Ru: 0.250 0.250 0.250

Summary:
formation energy from the elements: -312 meV per atom
spin magnetization: 1.0 μB/cell

***

(19)
A plane-wave DFT calculation with PBE was carried out for a geometry-optimized Zr3TcIr structure.

Lattice parameters (Å, degrees): 4.888 4.888 4.888 90.00 90.00 90.00
Sites, in units of the cell vectors:
Zr: 0.000 0.000 0.500
Zr: 0.000 0.500 0.000
Zr: 0.500 0.000 0.000
Tc: 0.000 0.000 0.000
Ir: 0.500 0.500 0.500

Summary:
formation energy from the elements: 669 meV per atom
spin magnetization: 0.0 μB/cell

***

(20)
A plane-wave DFT calculation with PBE was carried out for a geometry-optimized PrAgBi2 structure.

Lattice parameters (Å, degrees): 5.873 5.873 5.873 52.08 52.08 52.08
Sites, in units of the cell vectors:
Pr: 0.000 0.000 0.000
Ag: 0.500 0.500 0.500
Bi: 0.230 0.230 0.230
Bi: 0.770 0.770 0.770

Summary:
formation energy from the elements: -258 meV per atom
spin magnetization: 0.0 μB/cell